DFT (PBE+U) results for an optimized crystal structure of RbV4Pb3O12.

The total energy is -6.550 eV/atom. The density of states at the Fermi level comes out at 0.27 states/eV per atom.

It has space group R32 (No. 155, hexagonal axes), with a = 13.2766 Å, b = 13.2766 Å, c = 6.8932 Å, α = 90.00°, β = 90.00° and γ = 120.00°. The inequivalent atoms are Rb at (0.0000, 0.0000, 0.0000), V at (0.0000, 0.0000, 0.5000), V at (0.0000, 0.4201, 0.5000), Pb at (0.0000, 0.5541, 0.0000), O at (0.0000, 0.5485, 0.5000), O at (0.0000, 0.8695, 0.5000) and O at (0.0567, 0.4544, 0.8022).